Material: Cd2GaOs
Method: DFT, PBE
State: optimized geometry

Computed properties:
Electronic total energy = -56.95 eV for the cell shown
Magnetization = 0.000 μB per formula unit

a b c (Å): 6.523 6.523 6.523
angles (deg): 90.00 90.00 90.00
Element x y z (fractional)
Cd: 0.000 0.000 0.000
Cd: 0.000 0.500 0.500
Cd: 0.250 0.250 0.250
Cd: 0.250 0.750 0.750
Cd: 0.500 0.000 0.500
Cd: 0.500 0.500 0.000
Cd: 0.750 0.250 0.750
Cd: 0.750 0.750 0.250
Ga: 0.000 0.000 0.500
Ga: 0.000 0.500 0.000
Ga: 0.500 0.000 0.000
Ga: 0.500 0.500 0.500
Os: 0.250 0.250 0.750
Os: 0.250 0.750 0.250
Os: 0.750 0.250 0.250
Os: 0.750 0.750 0.750